[1]
# MnZn4Rh2

A geometry-optimized MnZn4Rh2 structure (PBE, the Alexandria database).

Cell: 5.1877 5.1877 5.1877 Å, 111.10 111.10 106.26°
Positions (direct):
Mn  0.0000  0.0000  0.0000
Zn  0.0000  0.0000  0.5000
Zn  0.0000  0.5000  0.0000
Zn  0.5000  0.0000  0.0000
Zn  0.5000  0.5000  0.5000
Rh  0.0000  0.5000  0.5000
Rh  0.5000  0.0000  0.5000

***

[2]
# Mn3ZnRh

A geometry-optimized Mn3ZnRh structure (PBE, the Alexandria database).

## Properties
- energy above the lowest structure with this stoichiometry (eV per atom) = 0.824

Cell: 4.2146 4.2146 4.2146 Å, 90.00 90.00 90.00°
Positions (direct):
Mn  0.0000  0.0000  0.5000
Mn  0.0000  0.5000  0.0000
Mn  0.5000  0.0000  0.0000
Zn  0.0000  0.0000  0.0000
Rh  0.5000  0.5000  0.5000

***

[3]
# MnZn4Rh

A geometry-optimized MnZn4Rh structure (PBE, the Alexandria database).

## Properties
- energy above the lowest structure with this stoichiometry (eV per atom) = 0.040

Cell: 4.9247 4.9247 4.9247 Å, 60.00 60.00 60.00°
Positions (direct):
Mn  0.0000  0.0000  0.0000
Zn  0.1255  0.6248  0.6248
Zn  0.6248  0.1255  0.6248
Zn  0.6248  0.6248  0.1255
Zn  0.6248  0.6248  0.6248
Rh  0.2500  0.2500  0.2500

***

[4]
# MnZn2Rh

A geometry-optimized MnZn2Rh structure (PBE, the Alexandria database).

Cell: 3.8371 3.8371 3.8095 Å, 90.00 90.00 90.00°
Positions (direct):
Mn  0.0000  0.0000  0.0000
Zn  0.0000  0.5000  0.5000
Zn  0.5000  0.0000  0.5000
Rh  0.5000  0.5000  0.0000

***

[5]
# MnZn2Rh

A geometry-optimized MnZn2Rh structure (PBE, the Alexandria database).

Cell: 4.7245 4.7245 4.7245 Å, 132.53 132.53 69.39°
Positions (direct):
Mn  0.0000  0.0000  0.0000
Zn  0.5000  0.5000  0.0000
Zn  0.7500  0.2500  0.5000
Rh  0.2500  0.7500  0.5000

***

[6]
# MnZn2Rh

A geometry-optimized MnZn2Rh structure (PBE, the Alexandria database).

Cell: 2.9460 3.4164 5.5566 Å, 90.00 90.00 90.00°
Positions (direct):
Mn  0.0000  0.0000  0.0000
Zn  0.5000  0.5000  0.2555
Zn  0.5000  0.5000  0.7445
Rh  0.0000  0.0000  0.5000

***

[7]
# MnZn8Rh2

A geometry-optimized MnZn8Rh2 structure (PBE, the Alexandria database).

Cell: 6.9244 6.9244 5.1607 Å, 101.01 101.01 43.81°
Positions (direct):
Mn  0.0000  0.0000  0.0000
Zn  0.1595  0.6533  0.5730
Zn  0.2351  0.2351  0.7868
Zn  0.3467  0.8405  0.4270
Zn  0.4218  0.4218  0.1143
Zn  0.5782  0.5782  0.8857
Zn  0.6533  0.1595  0.5730
Zn  0.7649  0.7649  0.2132
Zn  0.8405  0.3467  0.4270
Rh  0.2431  0.2431  0.2766
Rh  0.7569  0.7569  0.7234

***

[8]
# MnZn2Rh

A geometry-optimized MnZn2Rh structure (PBE, the Alexandria database).

Cell: 5.7714 5.7714 5.7714 Å, 152.40 135.02 53.59°
Positions (direct):
Mn  0.0000  0.0000  0.0000
Zn  0.2575  0.2575  0.0000
Zn  0.7425  0.7425  0.0000
Rh  0.5000  0.5000  0.0000

***

Here are the calculated total DFT energy (no corrections) numbers, same order: -30.20; -27.43; -22.38; -19.94; -19.87; -19.82; -35.00; -18.13 (eV/cell).
Here are the calculated calculated volume numbers, same order: 107; 75; 84; 56; 56; 56; 168; 63 (Å³/cell).